Record 1
# ErTh2SnN5, relaxed, DFT PBE
data_ErTh2SnN5
_chemical_formula_sum 'Er4 Th8 Sn4 N20'
_symmetry_space_group_name_H-M 'C m c 21'
_symmetry_Int_Tables_number 36
_symmetry_space_group_name_Hall 'C 2c -2'
_cell_length_a 3.543
_cell_length_b 14.245
_cell_length_c 11.322
_cell_angle_alpha 90.00
_cell_angle_beta 90.00
_cell_angle_gamma 90.00
loop_
_atom_site_label
_atom_site_type_symbol
_atom_site_fract_x
_atom_site_fract_y
_atom_site_fract_z
Er1 Er 0.000 0.228 0.000
Th1 Th 0.000 0.130 0.721
Th2 Th 0.000 0.133 0.259
Sn1 Sn 0.000 0.494 0.490
N1 N 0.000 0.066 0.054
N2 N 0.000 0.284 0.357
N3 N 0.000 0.287 0.655
N4 N 0.000 0.376 0.077
N5 N 0.000 0.485 0.806
# Uncorrected formation energy   -1.12 eV per atom
# Magnetic moment   0.0 μB per cell


Record 2
# SrEr2N, relaxed, DFT PBE
data_SrEr2N
_chemical_formula_sum 'Sr3 Er6 N3'
_symmetry_space_group_name_H-M 'R -3 m'
_symmetry_Int_Tables_number 166
_symmetry_space_group_name_Hall '-R 3 2"'
_cell_length_a 3.5154
_cell_length_b 3.5154
_cell_length_c 28.8960
_cell_angle_alpha 90.00
_cell_angle_beta 90.00
_cell_angle_gamma 120.00
loop_
_atom_site_label
_atom_site_type_symbol
_atom_site_fract_x
_atom_site_fract_y
_atom_site_fract_z
Sr1 Sr 0.0000 0.0000 0.0000
Er1 Er 0.0000 0.0000 0.1219
N1 N 0.0000 0.0000 0.5000
# Uncorrected formation energy   -0.62 eV per atom
# Magnetic moment   0.5 μB per cell
# N(E_F)   3.36 states/eV/f.u.


Record 3
# Sr2ErTaN4, relaxed, DFT PBE
data_Sr2ErTaN4
_chemical_formula_sum 'Sr8 Er4 Ta4 N16'
_symmetry_space_group_name_H-M 'I m m a'
_symmetry_Int_Tables_number 74
_symmetry_space_group_name_Hall '-I 2b 2'
_cell_length_a 6.815
_cell_length_b 7.040
_cell_length_c 9.824
_cell_angle_alpha 90.00
_cell_angle_beta 90.00
_cell_angle_gamma 90.00
loop_
_atom_site_label
_atom_site_type_symbol
_atom_site_fract_x
_atom_site_fract_y
_atom_site_fract_z
Sr1 Sr 0.000 0.000 0.000
Sr2 Sr 0.250 0.250 0.250
Er1 Er 0.000 0.000 0.500
Ta1 Ta 0.250 0.250 0.750
N1 N 0.000 0.042 0.743
N2 N 0.232 0.250 0.532
# Uncorrected formation energy   -1.12 eV per atom
# Magnetic moment   0.0 μB per cell
# N(E_F)   0.18 states/eV/f.u.


Record 4
# SrEr2TaN4, relaxed, DFT PBE
data_SrEr2TaN4
_chemical_formula_sum 'Sr4 Er8 Ta4 N16'
_symmetry_space_group_name_H-M 'C m c m'
_symmetry_Int_Tables_number 63
_symmetry_space_group_name_Hall '-C 2c 2'
_cell_length_a 3.433
_cell_length_b 12.148
_cell_length_c 12.086
_cell_angle_alpha 90.00
_cell_angle_beta 90.00
_cell_angle_gamma 90.00
loop_
_atom_site_label
_atom_site_type_symbol
_atom_site_fract_x
_atom_site_fract_y
_atom_site_fract_z
Sr1 Sr 0.000 0.099 0.250
Er1 Er 0.000 0.371 0.033
Ta1 Ta 0.000 0.166 0.750
N1 N 0.000 0.000 0.000
N2 N 0.000 0.257 0.618
N3 N 0.000 0.424 0.250
# Uncorrected formation energy   -1.30 eV per atom
# Magnetic moment   0.0 μB per cell
# N(E_F)   2.92 states/eV/f.u.


Record 5
# SrErTcN3, relaxed, DFT PBE
data_SrErTcN3
_chemical_formula_sum 'Sr2 Er2 Tc2 N6'
_symmetry_space_group_name_H-M 'P 1 21/m 1'
_symmetry_Int_Tables_number 11
_symmetry_space_group_name_Hall '-P 2yb'
_cell_length_a 6.434
_cell_length_b 3.472
_cell_length_c 9.252
_cell_angle_alpha 90.00
_cell_angle_beta 105.45
_cell_angle_gamma 90.00
loop_
_atom_site_label
_atom_site_type_symbol
_atom_site_fract_x
_atom_site_fract_y
_atom_site_fract_z
Sr1 Sr 0.167 0.250 0.188
Er1 Er 0.356 0.250 0.862
Tc1 Tc 0.140 0.750 0.577
N1 N 0.009 0.250 0.654
N2 N 0.286 0.750 0.007
N3 N 0.413 0.750 0.686
# Uncorrected formation energy   -0.79 eV per atom
# Magnetic moment   0.0 μB per cell
# N(E_F)   1.05 states/eV/f.u.


Record 6
# SrEr2TcN4, relaxed, DFT PBE
data_SrEr2TcN4
_chemical_formula_sum 'Sr4 Er8 Tc4 N16'
_symmetry_space_group_name_H-M 'C m c m'
_symmetry_Int_Tables_number 63
_symmetry_space_group_name_Hall '-C 2c 2'
_cell_length_a 3.418
_cell_length_b 12.002
_cell_length_c 11.980
_cell_angle_alpha 90.00
_cell_angle_beta 90.00
_cell_angle_gamma 90.00
loop_
_atom_site_label
_atom_site_type_symbol
_atom_site_fract_x
_atom_site_fract_y
_atom_site_fract_z
Sr1 Sr 0.000 0.071 0.250
Er1 Er 0.000 0.372 0.042
Tc1 Tc 0.000 0.189 0.750
N1 N 0.000 0.000 0.000
N2 N 0.000 0.259 0.611
N3 N 0.000 0.407 0.250
# Uncorrected formation energy   -1.03 eV per atom
# Magnetic moment   0.0 μB per cell
# N(E_F)   3.54 states/eV/f.u.


Record 7
# SrEr2TiN4, relaxed, DFT PBE
data_SrEr2TiN4
_chemical_formula_sum 'Sr4 Er8 Ti4 N16'
_symmetry_space_group_name_H-M 'C m c m'
_symmetry_Int_Tables_number 63
_symmetry_space_group_name_Hall '-C 2c 2'
_cell_length_a 3.451
_cell_length_b 11.910
_cell_length_c 11.827
_cell_angle_alpha 90.00
_cell_angle_beta 90.00
_cell_angle_gamma 90.00
loop_
_atom_site_label
_atom_site_type_symbol
_atom_site_fract_x
_atom_site_fract_y
_atom_site_fract_z
Sr1 Sr 0.000 0.102 0.250
Er1 Er 0.000 0.371 0.038
Ti1 Ti 0.000 0.167 0.750
N1 N 0.000 0.000 0.000
N2 N 0.000 0.258 0.620
N3 N 0.000 0.417 0.250
# Uncorrected formation energy   -1.50 eV per atom
# Magnetic moment   0.0 μB per cell


Record 8
# Sr3ErU3N8, relaxed, DFT PBE
data_Sr3ErU3N8
_chemical_formula_sum 'Sr9 Er3 U9 N24'
_symmetry_space_group_name_H-M 'R -3 m'
_symmetry_Int_Tables_number 166
_symmetry_space_group_name_Hall '-R 3 2"'
_cell_length_a 7.0110
_cell_length_b 7.0110
_cell_length_c 18.0065
_cell_angle_alpha 90.00
_cell_angle_beta 90.00
_cell_angle_gamma 120.00
loop_
_atom_site_label
_atom_site_type_symbol
_atom_site_fract_x
_atom_site_fract_y
_atom_site_fract_z
Sr1 Sr 0.0000 0.5000 0.0000
Er1 Er 0.0000 0.0000 0.5000
U1 U 0.0000 0.5000 0.5000
N1 N 0.0000 0.0000 0.2342
N2 N 0.0150 0.5075 0.7741
# Uncorrected formation energy   -1.20 eV per atom
# Magnetic moment   8.3 μB per cell
# N(E_F)   9.06 states/eV/f.u.


Record 9
# Sr3Er2UN6, relaxed, DFT PBE
data_Sr3Er2UN6
_chemical_formula_sum 'Sr6 Er4 U2 N12'
_symmetry_space_group_name_H-M 'C 1 2/m 1'
_symmetry_Int_Tables_number 12
_symmetry_space_group_name_Hall '-C 2y'
_cell_length_a 6.111
_cell_length_b 10.585
_cell_length_c 6.336
_cell_angle_alpha 90.00
_cell_angle_beta 108.76
_cell_angle_gamma 90.00
loop_
_atom_site_label
_atom_site_type_symbol
_atom_site_fract_x
_atom_site_fract_y
_atom_site_fract_z
Sr1 Sr 0.000 0.000 0.000
Sr2 Sr 0.000 0.331 0.000
Er1 Er 0.000 0.167 0.500
U1 U 0.000 0.500 0.500
N1 N 0.223 0.345 0.704
N2 N 0.242 0.500 0.297
# Uncorrected formation energy   -1.32 eV per atom
# Magnetic moment   0.0 μB per cell


Record 10
# SrEr2VN4, relaxed, DFT PBE
data_SrEr2VN4
_chemical_formula_sum 'Sr4 Er8 V4 N16'
_symmetry_space_group_name_H-M 'C m c m'
_symmetry_Int_Tables_number 63
_symmetry_space_group_name_Hall '-C 2c 2'
_cell_length_a 3.414
_cell_length_b 11.877
_cell_length_c 11.698
_cell_angle_alpha 90.00
_cell_angle_beta 90.00
_cell_angle_gamma 90.00
loop_
_atom_site_label
_atom_site_type_symbol
_atom_site_fract_x
_atom_site_fract_y
_atom_site_fract_z
Sr1 Sr 0.000 0.092 0.250
Er1 Er 0.000 0.371 0.041
V1 V 0.000 0.175 0.750
N1 N 0.000 0.000 0.000
N2 N 0.000 0.259 0.621
N3 N 0.000 0.407 0.250
# Uncorrected formation energy   -1.36 eV per atom
# Magnetic moment   2.8 μB per cell
# N(E_F)   3.18 states/eV/f.u.


Record 11
# SrEr2WN4, relaxed, DFT PBE
data_SrEr2WN4
_chemical_formula_sum 'Sr4 Er8 W4 N16'
_symmetry_space_group_name_H-M 'C m c m'
_symmetry_Int_Tables_number 63
_symmetry_space_group_name_Hall '-C 2c 2'
_cell_length_a 3.380
_cell_length_b 12.141
_cell_length_c 12.107
_cell_angle_alpha 90.00
_cell_angle_beta 90.00
_cell_angle_gamma 90.00
loop_
_atom_site_label
_atom_site_type_symbol
_atom_site_fract_x
_atom_site_fract_y
_atom_site_fract_z
Sr1 Sr 0.000 0.078 0.250
Er1 Er 0.000 0.372 0.038
W1 W 0.000 0.184 0.750
N1 N 0.000 0.000 0.000
N2 N 0.000 0.261 0.614
N3 N 0.000 0.414 0.250
# Uncorrected formation energy   -1.10 eV per atom
# Magnetic moment   0.0 μB per cell
# N(E_F)   3.16 states/eV/f.u.


Record 12
# SrErZnN2, relaxed, DFT PBE
data_SrErZnN2
_chemical_formula_sum 'Sr2 Er2 Zn2 N4'
_symmetry_space_group_name_H-M 'P 1 2/c 1'
_symmetry_Int_Tables_number 13
_symmetry_space_group_name_Hall '-P 2yc'
_cell_length_a 5.609
_cell_length_b 5.302
_cell_length_c 6.608
_cell_angle_alpha 90.00
_cell_angle_beta 90.05
_cell_angle_gamma 90.00
loop_
_atom_site_label
_atom_site_type_symbol
_atom_site_fract_x
_atom_site_fract_y
_atom_site_fract_z
Sr1 Sr 0.000 0.003 0.250
Er1 Er 0.500 0.499 0.750
Zn1 Zn 0.500 0.000 0.000
N1 N 0.293 0.278 0.000
# Uncorrected formation energy   -0.58 eV per atom
# Magnetic moment   0.3 μB per cell
# N(E_F)   2.54 states/eV/f.u.